--- P ---
Entry from Alexandria: a relaxed structure of Pm3Zn3Cu2 (PBE).

Cell: 5.4421 8.1108 15.5300 Å, 90.00 90.00 90.00°
Closest atoms and distances in Å follow each position.
Element x y z (fractional)
Pm1 0.3708 0.6814 0.7500  5 Zn 2.96-3.31, 4 Cu 3.13-3.22
Pm2 0.1277 0.4543 0.3943  3 Cu 2.95-3.14, 6 Zn 3.05-3.26
Pm3 0.3723 0.9543 0.3943  3 Cu 2.95-3.14, 6 Zn 3.05-3.26
Pm4 0.6277 0.0457 0.6057  3 Cu 2.95-3.14, 6 Zn 3.05-3.26
Pm5 0.6277 0.0457 0.8943  3 Cu 2.95-3.14, 6 Zn 3.05-3.26
Pm6 0.3723 0.9543 0.1057  3 Cu 2.95-3.14, 6 Zn 3.05-3.26
Pm7 0.8723 0.5457 0.8943  3 Cu 2.95-3.14, 6 Zn 3.05-3.26
Pm8 0.1292 0.1814 0.7500  5 Zn 2.96-3.31, 4 Cu 3.13-3.22
Pm9 0.1277 0.4543 0.1057  3 Cu 2.95-3.14, 6 Zn 3.05-3.26
Pm10 0.6292 0.3186 0.2500  5 Zn 2.96-3.31, 4 Cu 3.13-3.22
Pm11 0.8723 0.5457 0.6057  3 Cu 2.95-3.14, 6 Zn 3.05-3.26
Pm12 0.8708 0.8186 0.2500  5 Zn 2.96-3.31, 4 Cu 3.13-3.22
Zn1 0.3890 0.6833 0.9633  3 Cu 2.50-2.64
Zn2 0.8784 0.8376 0.7500  2 Cu 2.63
Zn3 0.1110 0.1833 0.9633  3 Cu 2.50-2.64
Zn4 0.8890 0.8167 0.0367  3 Cu 2.50-2.64
Zn5 0.8890 0.8167 0.4633  3 Cu 2.50-2.64
Zn6 0.6110 0.3167 0.0367  3 Cu 2.50-2.64
Zn7 0.1110 0.1833 0.5367  3 Cu 2.50-2.64
Zn8 0.1216 0.1624 0.2500  2 Cu 2.63
Zn9 0.6110 0.3167 0.4633  3 Cu 2.50-2.64
Zn10 0.3890 0.6833 0.5367  3 Cu 2.50-2.64
Zn11 0.3784 0.6624 0.2500  2 Cu 2.63
Zn12 0.6216 0.3376 0.7500  2 Cu 2.63
Cu1 0.3784 0.3951 0.8932  4 Zn 2.50-2.64
Cu2 0.8784 0.1049 0.1068  4 Zn 2.50-2.64
Cu3 0.3784 0.3951 0.6068  4 Zn 2.50-2.64
Cu4 0.8784 0.1049 0.3932  4 Zn 2.50-2.64
Cu5 0.6216 0.6049 0.3932  4 Zn 2.50-2.64
Cu6 0.1216 0.8951 0.8932  4 Zn 2.50-2.64
Cu7 0.6216 0.6049 0.1068  4 Zn 2.50-2.64
Cu8 0.1216 0.8951 0.6068  4 Zn 2.50-2.64

Output
M_tot (μB per formula unit): 0.00
SG: Pnma (62)
Volume (Å³ per atom): 21.422

--- Q ---
Entry from Alexandria: a relaxed structure of Pm3Zn3Cu2 (PBE).

Cell: 4.5152 5.5199 15.0381 Å, 90.00 90.00 114.14°
Closest atoms and distances in Å follow each position.
Element x y z (fractional)
Zn1 0.3833 0.7665 0.5401  3 Cu 2.57-2.79, 1 Zn 2.64
Zn2 0.6167 0.2335 0.4599  3 Cu 2.57-2.79, 1 Zn 2.64
Zn3 0.3173 0.6346 0.2500  2 Cu 2.56
Zn4 0.6827 0.3654 0.7500  2 Cu 2.56
Zn5 0.6167 0.2335 0.0401  3 Cu 2.57-2.79, 1 Zn 2.64
Zn6 0.3833 0.7665 0.9599  3 Cu 2.57-2.79, 1 Zn 2.64
Pm1 0.0963 0.1926 0.6051  4 Cu 2.99-3.24, 7 Zn 3.05-3.26
Pm2 0.9037 0.8074 0.3949  4 Cu 2.99-3.24, 7 Zn 3.05-3.26
Pm3 0.0963 0.1926 0.8949  4 Cu 2.99-3.24, 7 Zn 3.05-3.26
Pm4 0.6133 0.2265 0.2500  5 Zn 2.98-3.16, 4 Cu 3.32
Pm5 0.9037 0.8074 0.1051  4 Cu 2.99-3.24, 7 Zn 3.05-3.26
Pm6 0.3867 0.7735 0.7500  5 Zn 2.98-3.16, 4 Cu 3.32
Cu1 0.2003 0.4005 0.0991  4 Zn 2.56-2.79
Cu2 0.7997 0.5995 0.9009  4 Zn 2.56-2.79
Cu3 0.7997 0.5995 0.5991  4 Zn 2.56-2.79
Cu4 0.2003 0.4005 0.4009  4 Zn 2.56-2.79

Output
M_tot (μB per formula unit): 0.00
SG: Cmcm (63)
Volume (Å³ per atom): 21.376

Energies in eV/atom, measured from the most stable structure: P 0.014; Q 0.000.

--- P ---
Entry from Alexandria: a relaxed structure of Pm2Zn2Cu3 (PBE).

Cell: 4.0855 7.2263 9.3389 Å, 90.00 102.63 90.00°
Closest atoms and distances in Å follow each position.
Element x y z (fractional)
Cu1 0.4418 0.5761 0.8836  2 Cu 2.39-2.51, 1 Zn 2.61
Cu2 0.2281 0.7500 0.4562  6 Zn 2.55-2.69
Cu3 0.5582 0.0761 0.1164  2 Cu 2.39-2.51, 1 Zn 2.61
Cu4 0.4418 0.9239 0.8836  2 Cu 2.39-2.51, 1 Zn 2.61
Cu5 0.5582 0.4239 0.1164  2 Cu 2.39-2.51, 1 Zn 2.61
Cu6 0.7719 0.2500 0.5438  6 Zn 2.55-2.69
Zn1 0.3095 0.4392 0.6191  4 Cu 2.55-2.69, 1 Zn 2.73
Zn2 0.6905 0.5608 0.3809  4 Cu 2.55-2.69, 1 Zn 2.73
Zn3 0.6905 0.9392 0.3809  4 Cu 2.55-2.69, 1 Zn 2.73
Zn4 0.3095 0.0608 0.6191  4 Cu 2.55-2.69, 1 Zn 2.73
Pm1 0.1520 0.2500 0.3041  6 Cu 2.95-2.99, 6 Zn 3.12-3.18
Pm2 0.0606 0.7500 0.1213  9 Cu 3.05-3.23, 4 Zn 3.41
Pm3 0.9394 0.2500 0.8787  9 Cu 3.05-3.23, 4 Zn 3.41
Pm4 0.8480 0.7500 0.6959  6 Cu 2.95-2.99, 6 Zn 3.12-3.18

Output
M_tot (μB per formula unit): 0.00
SG: Cmcm (63)
Volume (Å³ per atom): 19.217

--- Q ---
Entry from Alexandria: a relaxed structure of Pm2Zn2Cu3 (PBE).

Cell: 4.2651 5.5415 6.5827 Å, 111.09 90.00 112.63°
Closest atoms and distances in Å follow each position.
Element x y z (fractional)
Zn1 0.8548 0.7097 0.7600  5 Cu 2.56-2.72
Zn2 0.1452 0.2903 0.2400  5 Cu 2.56-2.72
Cu1 0.5981 0.1963 0.4172  2 Cu 2.53-2.63, 3 Zn 2.56-2.71
Cu2 0.4019 0.8037 0.5828  2 Cu 2.53-2.63, 3 Zn 2.56-2.71
Cu3 0.5000 0.0000 0.0000  2 Cu 2.53, 4 Zn 2.72
Pm1 0.1475 0.2951 0.7605  4 Zn 2.99-3.17, 8 Cu 3.00-3.34
Pm2 0.8525 0.7049 0.2395  4 Zn 2.99-3.17, 8 Cu 3.00-3.34

Output
M_tot (μB per formula unit): 0.00
SG: C2/m (12)
Volume (Å³ per atom): 18.891

Energies in eV/atom, measured from the most stable structure: P 0.000; Q 0.017.

--- P ---
Entry from Alexandria: a relaxed structure of Pm2ZrCu (PBE).

Cell: 3.2889 3.2889 11.2644 Å, 81.61 81.61 60.00°
Closest atoms and distances in Å follow each position.
Element x y z (fractional)
Pm1 0.0974 0.0974 0.7077  3 Cu 2.99, 1 Zr 3.25, 6 Pm 3.29
Pm2 0.9026 0.9026 0.2923  3 Cu 2.99, 1 Zr 3.25, 6 Pm 3.29
Cu1 0.5000 0.5000 0.5000  6 Pm 2.99, 6 Cu 3.29
Zr1 0.0000 0.0000 0.0000  2 Pm 3.25, 6 Zr 3.29

Output
M_tot (μB per formula unit): 0.00
SG: R-3m (166)
Volume (Å³ per atom): 26.003

--- Q ---
Entry from Alexandria: a relaxed structure of Pm2ZrCu (PBE).

Cell: 3.4804 3.4804 8.4056 Å, 90.00 90.00 90.00°
Closest atoms and distances in Å follow each position.
Element x y z (fractional)
Zr1 0.5000 0.5000 0.5000  8 Pm 3.41, 4 Zr 3.48
Pm1 0.0000 0.0000 0.2198  4 Cu 3.08, 4 Zr 3.41
Pm2 0.0000 0.0000 0.7802  4 Cu 3.08, 4 Zr 3.41
Cu1 0.5000 0.5000 0.0000  8 Pm 3.08

Output
M_tot (μB per formula unit): 0.00
SG: P4/mmm (123)
Volume (Å³ per atom): 25.455

Energies in eV/atom, measured from the most stable structure: P 0.383; Q 0.000.

--- P ---
Entry from Alexandria: a relaxed structure of PmZr2Cu (PBE).

Cell: 3.3329 3.3329 8.0560 Å, 90.00 90.00 90.00°
Closest atoms and distances in Å follow each position.
Element x y z (fractional)
Cu1 0.5000 0.5000 0.0000  8 Zr 2.85
Zr1 0.0000 0.0000 0.1998  4 Cu 2.85
Zr2 0.0000 0.0000 0.8002  4 Cu 2.85
Pm1 0.5000 0.5000 0.5000  4 Pm 3.33, 8 Zr 3.38

Output
M_tot (μB per formula unit): 0.00
SG: P4/mmm (123)
Volume (Å³ per atom): 22.371

--- Q ---
Entry from Alexandria: a relaxed structure of PmZr2Cu (PBE).

Cell: 3.1647 3.1647 10.9480 Å, 81.69 81.69 60.00°
Closest atoms and distances in Å follow each position.
Element x y z (fractional)
Zr1 0.1006 0.1006 0.6982  3 Cu 2.81
Zr2 0.8994 0.8994 0.3018  3 Cu 2.81
Pm1 0.0000 0.0000 0.0000  6 Pm 3.16, 2 Zr 3.26
Cu1 0.5000 0.5000 0.5000  6 Zr 2.81

Output
M_tot (μB per formula unit): 0.00
SG: R-3m (166)
Volume (Å³ per atom): 23.407

Energies in eV/atom, measured from the most stable structure: P 0.000; Q 0.295.